# 1
This record from the Alexandria database describes a relaxed structure of LaNd8N6. The functional is PBE.

```
15
Lattice="3.1805 1.8363 9.3471 -3.1805 1.8363 9.3471 0.0000 -3.6725 9.3471" Properties=species:S:1:pos:R:3 pbc="T T T"
La 0.0000 0.0000 0.0000
Nd -2.1199 0.0000 12.2034
Nd -1.0600 -1.8359 15.8379
Nd 0.0000 0.0000 9.3468
Nd 1.0599 -1.8359 12.2034
Nd -1.0599 1.8359 15.8379
Nd 0.0000 0.0000 18.6945
Nd 1.0600 1.8359 12.2034
Nd 2.1199 0.0000 15.8379
N -1.0686 -1.8221 10.9566
N -2.1123 0.0144 17.0847
N -1.0437 1.8365 10.9566
N 1.0437 -1.8365 17.0847
N 2.1122 -0.0144 10.9566
N 1.0686 1.8221 17.0847
```

Calculated values
- Space-group type: No. 148
- Energy relative to the elements, uncorrected: -1579 kJ/mol of formula units

***

# 2
This record from the Alexandria database describes a relaxed structure of Cd5PdAu2. The functional is PBE.

```
16
Lattice="2.3365 -4.8767 0.0000 2.3365 4.8767 0.0000 0.0000 0.0000 14.3058" Properties=species:S:1:pos:R:3 pbc="T T T"
Cd 2.3365 4.7649 10.7294
Cd 2.3365 3.5043 0.7289
Cd 2.3365 3.5043 6.4241
Cd 2.3365 0.4856 1.4540
Cd 2.3365 0.4856 5.6989
Cd 2.3365 -0.4856 8.6070
Cd 2.3365 -0.4856 12.8518
Cd 2.3365 -3.5043 7.8818
Cd 2.3365 -3.5043 13.5770
Cd 2.3365 -4.7649 3.5765
Pd 2.3365 2.2441 3.5765
Pd 2.3365 -2.2441 10.7294
Au 2.3365 2.3704 9.1492
Au 2.3365 2.3704 12.3095
Au 2.3365 -2.3704 1.9963
Au 2.3365 -2.3704 5.1566
```

Calculated values
- Space-group type: No. 63
- ΔH_f (0 K): -1.220 eV per formula unit

***

# 3
This record from the Alexandria database describes a relaxed structure of AcGd2Cd. The functional is PBE.

```
4
Lattice="1.8210 1.0513 12.4014 -1.8210 1.0513 12.4014 0.0000 -2.1027 12.4014" Properties=species:S:1:pos:R:3 pbc="T T T"
Ac 0.0000 0.0000 0.0000
Gd 0.0000 0.0000 15.3761
Gd 0.0000 0.0000 21.8281
Cd 0.0000 0.0000 18.6021
```

Calculated values
- Space-group type: No. 166
- ΔH_f (0 K): 0.887 eV per formula unit

***

# 4
This record from the Alexandria database describes a relaxed structure of ThPt6Au. The functional is PBE.

```
8
Lattice="5.2694 0.0000 0.0000 0.0000 5.2694 0.0000 0.0000 0.0000 5.2694" Properties=species:S:1:pos:R:3 pbc="T T T"
Th 0.0000 0.0000 0.0000
Pt 0.0000 1.3413 2.6347
Pt 0.0000 3.9282 2.6347
Pt 1.3413 2.6347 0.0000
Pt 2.6347 0.0000 1.3413
Pt 2.6347 0.0000 3.9282
Pt 3.9282 2.6347 0.0000
Au 2.6347 2.6347 2.6347
```

Calculated values
- Space-group type: No. 200
- ΔH_f (0 K): -2.079 eV per formula unit

***

# 5
This record from the Alexandria database describes a relaxed structure of Ac12Cd6Pt. The functional is PBE.

```
19
Lattice="6.6300 3.8279 4.8872 -6.6300 3.8279 4.8872 0.0000 -7.6557 4.8872" Properties=species:S:1:pos:R:3 pbc="T T T"
Ac -5.8542 -1.6214 8.1569
Ac -1.5230 -5.8806 6.5048
Ac -1.4924 -1.8282 5.5124
Ac -4.3313 4.2592 6.5048
Ac -0.8371 2.2065 5.5124
Ac -2.3294 0.3783 9.1493
Ac 2.3294 -0.3783 5.5124
Ac 0.8371 -2.2065 9.1493
Ac 4.3313 -4.2592 8.1569
Ac 1.4923 1.8282 9.1493
Ac 1.5230 5.8806 8.1569
Ac 5.8542 1.6214 6.5048
Cd -4.0405 0.7548 6.2196
Cd -2.6739 -3.1218 8.4420
Cd 1.3666 -3.8766 6.2196
Cd -1.3666 3.8765 8.4420
Cd 2.6739 3.1218 6.2197
Cd 4.0405 -0.7548 8.4420
Pt 0.0000 0.0000 7.3308
```

Calculated values
- Space-group type: No. 148
- ΔH_f (0 K): -3.436 eV per formula unit

***

# 6
This record from the Alexandria database describes a relaxed structure of CaNd2PbC. The functional is PBE.

```
5
Lattice="5.1279 0.0000 0.0000 0.0000 5.1279 0.0000 0.0000 0.0000 5.0396" Properties=species:S:1:pos:R:3 pbc="T T T"
Ca 0.0000 0.0000 0.0000
Nd 0.0000 2.5640 2.5198
Nd 2.5640 0.0000 2.5198
Pb 2.5640 2.5640 0.0000
C 0.0000 0.0000 2.5198
```

Calculated values
- Space-group type: No. 123
- ΔH_f (0 K): -1.869 eV per formula unit

***

# 7
This record from the Alexandria database describes a relaxed structure of HfTi2Nb. The functional is PBE.

```
16
Lattice="5.0973 0.0000 0.0000 0.0000 5.2801 0.0000 0.0000 0.0000 11.9359" Properties=species:S:1:pos:R:3 pbc="T T T"
Hf 1.2743 0.0000 1.1851
Hf 1.2743 2.6401 3.4941
Hf 3.8230 0.0000 10.7508
Hf 3.8230 2.6401 8.4418
Ti 0.0000 0.0000 5.9680
Ti 0.0000 2.6401 0.0000
Ti 1.2743 1.3965 10.0262
Ti 1.2743 3.8836 10.0262
Ti 2.5487 0.0000 5.9680
Ti 2.5487 2.6401 0.0000
Ti 3.8230 1.3965 1.9097
Ti 3.8230 3.8836 1.9097
Nb 1.2743 0.0000 8.1679
Nb 1.2743 2.6401 6.8455
Nb 3.8230 0.0000 3.7680
Nb 3.8230 2.6401 5.0904
```

Calculated values
- Space-group type: No. 51
- ΔH_f (0 K): 2.020 eV per formula unit

***

# 8
This record from the Alexandria database describes a relaxed structure of La6Y4Ho. The functional is PBE.

```
11
Lattice="-3.5124 3.5124 8.0099 3.5124 -3.5124 8.0099 3.5124 3.5124 -8.0099" Properties=species:S:1:pos:R:3 pbc="T T T"
La 3.5124 0.0000 0.0000
La 2.1597 -2.1597 5.1113
La 1.3527 1.3527 2.8986
La 0.0000 3.5124 0.0000
La -2.1597 2.1597 5.1113
La 2.1597 2.1597 10.9085
Y 2.3229 2.3229 -1.6417
Y 1.1895 -1.1895 9.6516
Y 1.1895 1.1895 6.3683
Y -1.1895 1.1895 9.6516
Ho 0.0000 0.0000 0.0000
```

Calculated values
- Space-group type: No. 121
- ΔH_f (0 K): 3.138 eV per formula unit

***

# 9
This record from the Alexandria database describes a relaxed structure of BaInP2. The functional is PBE.

```
4
Lattice="2.6394 -3.0130 0.0000 2.6394 3.0130 0.0000 0.0000 0.0000 6.5597" Properties=species:S:1:pos:R:3 pbc="T T T"
Ba 0.0000 0.0000 0.0000
In 0.0000 0.0000 3.2798
P 2.6394 0.0000 2.1472
P 2.6394 0.0000 4.4125
```

Calculated values
- Space-group type: No. 65
- ΔH_f (0 K): -0.970 eV per formula unit

***

# 10
This record from the Alexandria database describes a relaxed structure of Mg14ZnB. The functional is PBE.

```
16
Lattice="9.6739 0.0000 0.0000 0.0000 3.2265 5.4470 0.0000 -3.2265 5.4470" Properties=species:S:1:pos:R:3 pbc="T T T"
Mg 0.0000 0.0000 0.0000
Mg 0.0000 -1.6059 8.0406
Mg 0.0000 0.0000 5.4104
Mg 0.0000 1.6059 8.0406
Mg 2.4064 0.0000 9.0255
Mg 2.4278 0.0000 3.5318
Mg 2.9271 -1.4945 6.2010
Mg 2.9271 1.4945 6.2010
Mg 4.8369 -1.5694 3.1577
Mg 4.8369 1.5694 3.1577
Mg 6.7468 -1.4945 6.2010
Mg 6.7468 1.4945 6.2010
Mg 7.2461 0.0000 3.5318
Mg 7.2675 0.0000 9.0255
Zn 4.8369 0.0000 10.8256
B 4.8369 0.0000 5.0750
```

Calculated values
- Space-group type: No. 38
- ΔH_f (0 K): 2.329 eV per formula unit

***

# 11
This record from the Alexandria database describes a relaxed structure of Cs2BeAs2Pb. The functional is PBE.

```
12
Lattice="-3.5630 8.3257 3.3864 3.5630 -8.3257 3.3864 3.5630 8.3257 -3.3864" Properties=species:S:1:pos:R:3 pbc="T T T"
Cs 1.6967 2.8424 0.0000
Cs 1.6967 -2.8424 3.3864
Cs 1.8663 11.1681 0.0000
Cs 1.8663 5.4833 3.3864
Be 0.0000 0.0000 1.6932
Be 0.0000 0.0000 5.0795
As 5.8241 1.1791 0.0000
As 2.2611 7.1466 0.0000
As 1.3019 1.1791 3.3864
As -2.2611 7.1466 3.3864
Pb 3.5630 0.0000 1.6932
Pb 0.0000 8.3257 1.6932
```

Calculated values
- Space-group type: No. 72
- ΔH_f (0 K): -1.172 eV per formula unit

***

# 12
This record from the Alexandria database describes a relaxed structure of Pr2DyHo3As6. The functional is PBE.

```
12
Lattice="9.0942 -2.0884 0.0000 9.0942 2.0884 0.0000 -1.9098 0.0000 8.1243" Properties=species:S:1:pos:R:3 pbc="T T T"
Pr 2.3795 0.0000 2.6955
Pr 13.8991 0.0000 5.4288
Dy 9.0942 0.0000 0.0000
Ho 1.4470 0.0000 6.7760
Ho 8.1393 0.0000 4.0622
Ho 14.8316 0.0000 1.3484
As -1.3747 0.0000 6.1036
As 4.2987 0.0000 7.5207
As 5.3316 0.0000 3.3277
As 10.9470 0.0000 4.7966
As 11.9799 0.0000 0.6036
As 17.6533 0.0000 2.0207
```

Calculated values
- Space-group type: No. 12
- ΔH_f (0 K): -18.098 eV per formula unit

***

no.,total energy (eV/cell)
1,-109.39
2,-35.09
3,-32.30
4,-49.02
5,-64.27
6,-26.34
7,-135.17
8,-56.86
9,-16.45
10,-27.95
11,-39.22
12,-73.89